[1]
Computed, not measured: crystalline Rb5Ga2O5 at its relaxed geometry at the PBE-GGA level of DFT.

Cell lengths 14.605, 3.538, 10.201 Å; angles 90.00, 97.79, 90.00 degrees
Space group C2/m (No. 12)
Inequivalent atoms, fractional coordinates:
Rb (0.000, 0.000, 0.000)
Rb (0.135, 0.000, 0.472)
Rb (0.231, 0.000, 0.185)
Ga (0.024, 0.500, 0.697)
O (0.000, 0.500, 0.500)
O (0.089, 0.500, 0.240)
O (0.090, 0.000, 0.735)

Results
Raw formation energy, eV per atom: -1.31

=====

[2]
Computed, not measured: crystalline Ge2AuCl2 at its relaxed geometry at the PBE-GGA level of DFT.

Cell lengths 7.310, 7.310, 4.601 Å; angles 90.00, 90.00, 90.00 degrees
Space group P4/mbm (No. 127)
Inequivalent atoms, fractional coordinates:
Ge (0.223, 0.277, 0.000)
Au (0.000, 0.000, 0.000)
Cl (0.165, 0.665, 0.500)

Results
Raw formation energy, eV per atom: -0.21

=====

[3]
Computed, not measured: crystalline La7Al2Cd2 at its relaxed geometry at the PBE-GGA level of DFT.

Cell lengths 7.938, 11.634, 8.104 Å; angles 90.00, 90.00, 90.00 degrees
Space group Cmmm (No. 65)
Inequivalent atoms, fractional coordinates:
La (0.000, 0.000, 0.000)
La (0.000, 0.500, 0.250)
La (0.250, 0.250, 0.286)
Al (0.000, 0.290, 0.000)
Cd (0.172, 0.000, 0.500)

Results
Formation energy from the elements, meV/atom: -47

=====

[4]
Computed, not measured: crystalline SrSn6Rh6 at its relaxed geometry at the PBE-GGA level of DFT.

Cell lengths 5.711, 8.804, 9.880 Å; angles 90.00, 90.00, 90.00 degrees
Space group Immm (No. 71)
Inequivalent atoms, fractional coordinates:
Sr (0.000, 0.000, 0.000)
Sn (0.000, 0.000, 0.337)
Sn (0.000, 0.340, 0.000)
Sn (0.000, 0.500, 0.329)
Rh (0.000, 0.249, 0.500)
Rh (0.250, 0.250, 0.250)

Results
Formation energy from the elements, meV/atom: -522

=====

Repeat the third record exactly.
Computed, not measured: crystalline La7Al2Cd2 at its relaxed geometry at the PBE-GGA level of DFT.

Cell lengths 7.938, 11.634, 8.104 Å; angles 90.00, 90.00, 90.00 degrees
Space group Cmmm (No. 65)
Inequivalent atoms, fractional coordinates:
La (0.000, 0.000, 0.000)
La (0.000, 0.500, 0.250)
La (0.250, 0.250, 0.286)
Al (0.000, 0.290, 0.000)
Cd (0.172, 0.000, 0.500)

Results
Formation energy from the elements, meV/atom: -47